(1)
DFT (PBE) results for Mn2CdSb after structural relaxation.

Lattice parameters (Å, degrees): 3.5360 3.5360 5.9781 90.00 90.00 90.00
Sites, in units of the cell vectors:
Mn: 0.0000 0.0000 0.0000
Mn: 0.5000 0.5000 0.2340
Cd: 0.5000 0.5000 0.7680
Sb: 0.0000 0.0000 0.4456

## Properties
- E_form (uncorrected) (meV/atom) = 260
- calculated volume (Å³/cell) = 75
- ΔE to the lowest computed polymorph (meV/atom) = 7
- magnetization (μB per atom) = 1.678

***

(2)
DFT (PBE) results for GdThSi2 after structural relaxation.

Lattice parameters (Å, degrees): 7.2605 7.2605 7.2605 33.74 33.74 33.74
Sites, in units of the cell vectors:
Gd: 0.0000 0.0000 0.0000
Th: 0.5000 0.5000 0.5000
Si: 0.2517 0.2517 0.2517
Si: 0.7483 0.7483 0.7483

## Properties
- E_form (uncorrected) (meV/atom) = -536
- calculated volume (Å³/cell) = 105
- magnetization (μB per atom) = 1.759

***

(3)
DFT (PBE) results for NiSn2PN after structural relaxation.

Lattice parameters (Å, degrees): 5.1632 5.1632 4.0302 90.00 90.00 90.00
Sites, in units of the cell vectors:
Ni: 0.0000 0.0000 0.0000
Sn: 0.0000 0.5000 0.5000
Sn: 0.5000 0.0000 0.5000
P: 0.0000 0.0000 0.5000
N: 0.5000 0.5000 0.0000

## Properties
- E_form (uncorrected) (meV/atom) = 1199
- calculated volume (Å³/cell) = 107
- magnetization (μB per atom) = 0.000

***

(4)
DFT (PBE) results for LaPmDyTl after structural relaxation.

Lattice parameters (Å, degrees): 5.6047 5.6047 5.6047 60.00 60.00 60.00
Sites, in units of the cell vectors:
La: 0.0000 0.0000 0.0000
Pm: 0.2500 0.2500 0.2500
Dy: 0.5000 0.5000 0.5000
Tl: 0.7500 0.7500 0.7500

## Properties
- calculated volume (Å³/cell) = 124
- ΔE to the lowest computed polymorph (meV/atom) = 0
- magnetization (μB per atom) = 0.354

***

The lowest magnetization belongs to which entry?
NiSn2PN

***

What did the fourth record say?
DFT (PBE) results for LaPmDyTl after structural relaxation.

Lattice parameters (Å, degrees): 5.6047 5.6047 5.6047 60.00 60.00 60.00
Sites, in units of the cell vectors:
La: 0.0000 0.0000 0.0000
Pm: 0.2500 0.2500 0.2500
Dy: 0.5000 0.5000 0.5000
Tl: 0.7500 0.7500 0.7500

## Properties
- calculated volume (Å³/cell) = 124
- ΔE to the lowest computed polymorph (meV/atom) = 0
- magnetization (μB per atom) = 0.354